Crystalline LiTi2S4 at its relaxed geometry, computed with PBE.

Structure (CIF):
```
data_LiTi2S4
_chemical_formula_sum 'Li4 Ti8 S16'
_symmetry_space_group_name_H-M 'C m c m'
_symmetry_Int_Tables_number 63
_symmetry_space_group_name_Hall '-C 2c 2'
_cell_length_a 3.458
_cell_length_b 11.481
_cell_length_c 12.225
_cell_angle_alpha 90.00
_cell_angle_beta 90.00
_cell_angle_gamma 90.00
loop_
_atom_site_label
_atom_site_type_symbol
_atom_site_fract_x
_atom_site_fract_y
_atom_site_fract_z
Li1 Li 0.000 0.110 0.250
Ti1 Ti 0.000 0.368 0.069
S1 S 0.000 0.000 0.000
S2 S 0.000 0.274 0.616
S3 S 0.000 0.444 0.250
```

**Total DFT energy (no corrections)**: -6.1784 eV per atom
**Offset from the most stable computed form**: 105 meV per atom